## i
DFT (PBE-GGA) results for LiRhBr after structural relaxation.

POSCAR file:
```
LiRhBr
1.0
4.298 0.000 0.000
-2.149 3.722 0.000
0.000 0.000 3.286
Li Rh Br
1 1 1
Direct
0.000 0.000 0.000
0.667 0.333 0.500
0.333 0.667 0.500
```

crystal system	hexagonal
symmetry	P-6m2
calculated density	5.99	g/cm³

=====

## ii
DFT (PBE-GGA) results for LiRhBr after structural relaxation.

POSCAR file:
```
LiRhBr
1.0
0.000 2.753 5.976
1.678 0.000 5.976
1.678 2.753 0.000
Li Rh Br
1 1 1
Direct
0.000 0.000 0.000
0.675 0.675 0.325
0.340 0.340 0.660
```

crystal system	orthorhombic
symmetry	Fmm2
calculated density	5.71	g/cm³

=====

It turns out i is the most stable, with the second structure 245 meV per atom higher.

=====

## i
DFT (PBE-GGA) results for LiRhBr after structural relaxation.

POSCAR file:
```
LiRhBr
1.0
0.000 3.005 3.005
3.005 0.000 3.005
3.005 3.005 0.000
Li Rh Br
1 1 1
Direct
0.000 0.000 0.000
0.750 0.750 0.750
0.500 0.500 0.500
```

crystal system	cubic
symmetry	F-43m
calculated density	5.81	g/cm³

=====

## ii
DFT (PBE-GGA) results for LiRhBr after structural relaxation.

POSCAR file:
```
LiRhBr
1.0
3.275 0.000 0.000
-1.638 2.836 0.000
0.000 0.000 5.835
Li Rh Br
1 1 1
Direct
0.000 0.000 0.000
0.667 0.333 0.352
0.333 0.667 0.681
```

crystal system	trigonal
symmetry	P3m1
calculated density	5.81	g/cm³

=====

It turns out i is the most stable, with the second structure 46 meV per atom higher.

=====

## i
DFT (PBE-GGA) results for LiTe2RhBr after structural relaxation.

POSCAR file:
```
LiTe2RhBr
1.0
5.054 0.000 0.000
0.000 5.054 0.000
0.000 0.000 4.572
Li Te Rh Br
1 2 1 1
Direct
0.000 0.000 0.000
0.000 0.500 0.000
0.500 0.000 0.000
0.000 0.000 0.500
0.500 0.500 0.500
```

crystal system	tetragonal
symmetry	P4/mmm
calculated density	6.33	g/cm³

=====

## ii
DFT (PBE-GGA) results for LiTe2RhBr after structural relaxation.

POSCAR file:
```
LiTe2RhBr
1.0
5.762 0.000 0.000
0.000 5.762 0.000
0.000 0.000 4.659
Li Te Rh Br
1 2 1 1
Direct
0.000 0.000 0.000
0.000 0.500 0.500
0.500 0.000 0.500
0.500 0.500 0.000
0.500 0.500 0.500
```

crystal system	tetragonal
symmetry	P4/mmm
calculated density	4.78	g/cm³

=====

It turns out i is the most stable, with the second structure 43 meV per atom higher.

=====

## i
DFT (PBE-GGA) results for LiRuBr4 after structural relaxation.

POSCAR file:
```
LiRuBr4
1.0
6.627 -1.893 0.000
6.627 1.893 0.000
-1.026 0.000 6.556
Li Ru Br
1 1 4
Direct
0.000 0.000 0.000
0.500 0.500 0.500
0.108 0.108 0.391
0.391 0.391 0.154
0.609 0.609 0.846
0.892 0.892 0.609
```

crystal system	monoclinic
symmetry	C2/m
calculated density	4.32	g/cm³

=====

## ii
DFT (PBE-GGA) results for LiRuBr4 after structural relaxation.

POSCAR file:
```
LiRuBr4
1.0
0.000 4.475 4.475
4.475 0.000 4.475
4.475 4.475 0.000
Li Ru Br
1 1 4
Direct
0.000 0.000 0.000
0.750 0.750 0.750
0.375 0.375 0.375
0.375 0.375 0.874
0.375 0.874 0.375
0.874 0.375 0.375
```

crystal system	cubic
symmetry	F-43m
calculated density	3.96	g/cm³

=====

It turns out i is the most stable, with the second structure 1516 meV per atom higher.

=====

## i
DFT (PBE-GGA) results for Li2RuBr6 after structural relaxation.

POSCAR file:
```
Li2RuBr6
1.0
3.389 1.957 5.930
-3.389 1.957 5.930
0.000 -3.913 5.930
Li Ru Br
2 1 6
Direct
0.187 0.187 0.187
0.813 0.813 0.813
0.000 0.000 0.000
0.107 0.769 0.370
0.231 0.630 0.893
0.370 0.107 0.769
0.630 0.893 0.231
0.769 0.370 0.107
0.893 0.231 0.630
```

crystal system	trigonal
symmetry	R-3
calculated density	4.18	g/cm³

=====

## ii
DFT (PBE-GGA) results for Li2RuBr6 after structural relaxation.

POSCAR file:
```
Li2RuBr6
1.0
6.596 0.000 0.000
0.000 7.168 0.000
-5.988 0.000 10.451
Li Ru Br
4 2 12
Direct
0.131 0.138 0.150
0.131 0.362 0.650
0.869 0.638 0.350
0.869 0.862 0.850
0.500 0.000 0.000
0.500 0.500 0.500
0.145 0.038 0.779
0.145 0.462 0.279
0.254 0.678 0.571
0.254 0.822 0.071
0.399 0.204 0.567
0.399 0.296 0.067
0.601 0.704 0.933
0.601 0.796 0.433
0.746 0.178 0.929
0.746 0.322 0.429
0.855 0.538 0.721
0.855 0.962 0.221
```

crystal system	monoclinic
symmetry	P2_1/c
calculated density	3.99	g/cm³

=====

It turns out ii is the most stable, with the second structure 11 meV per atom higher.

=====

## i
DFT (PBE-GGA) results for LiSBr2 after structural relaxation.

POSCAR file:
```
LiSBr2
1.0
1.971 1.138 7.829
-1.971 1.138 7.829
0.000 -2.276 7.829
Li S Br
1 1 2
Direct
0.000 0.000 0.000
0.500 0.500 0.500
0.396 0.396 0.396
0.604 0.604 0.604
```

crystal system	trigonal
symmetry	R-3m
calculated density	3.13	g/cm³

=====

## ii
DFT (PBE-GGA) results for LiSBr2 after structural relaxation.

POSCAR file:
```
LiSBr2
1.0
0.000 3.664 3.664
3.664 0.000 3.664
3.664 3.664 0.000
Li S Br
1 1 2
Direct
0.000 0.000 0.000
0.500 0.500 0.500
0.250 0.250 0.250
0.750 0.750 0.750
```

crystal system	cubic
symmetry	Fm-3m
calculated density	3.36	g/cm³

=====

It turns out i is the most stable, with the second structure 446 meV per atom higher.

=====

## i
DFT (PBE-GGA) results for LiSe2SBr after structural relaxation.

POSCAR file:
```
LiSe2SBr
1.0
4.931 0.000 0.000
0.000 4.931 0.000
0.000 0.000 5.260
Li Se S Br
1 2 1 1
Direct
0.000 0.000 0.000
0.000 0.500 0.500
0.500 0.000 0.500
0.500 0.500 0.500
0.500 0.500 0.000
```

crystal system	tetragonal
symmetry	P4/mmm
calculated density	3.59	g/cm³

=====

## ii
DFT (PBE-GGA) results for LiSe2SBr after structural relaxation.

POSCAR file:
```
LiSe2SBr
1.0
4.842 0.000 0.000
0.000 4.842 0.000
0.000 0.000 4.538
Li Se S Br
1 2 1 1
Direct
0.000 0.000 0.000
0.000 0.500 0.000
0.500 0.000 0.000
0.500 0.500 0.500
0.000 0.000 0.500
```

crystal system	tetragonal
symmetry	P4/mmm
calculated density	4.32	g/cm³

=====

It turns out i is the most stable, with the second structure 440 meV per atom higher.

=====

## i
DFT (PBE-GGA) results for LiSbBr2 after structural relaxation.

POSCAR file:
```
LiSbBr2
1.0
2.463 -2.506 0.000
2.463 2.506 0.000
0.000 0.000 8.494
Li Sb Br
1 1 2
Direct
0.000 0.000 0.000
0.500 0.500 0.555
0.000 0.000 0.287
0.500 0.500 0.892
```

crystal system	orthorhombic
symmetry	Cmm2
calculated density	4.57	g/cm³

=====

## ii
DFT (PBE-GGA) results for LiSbBr2 after structural relaxation.

POSCAR file:
```
LiSbBr2
1.0
4.106 -4.129 0.000
4.106 4.129 0.000
-0.130 0.000 3.673
Li Sb Br
1 1 2
Direct
0.000 0.000 0.000
0.500 0.500 0.000
0.000 0.500 0.000
0.500 0.000 0.000
```

crystal system	monoclinic
symmetry	C2/m
calculated density	3.85	g/cm³

=====

## iii
DFT (PBE-GGA) results for LiSbBr2 after structural relaxation.

POSCAR file:
```
LiSbBr2
1.0
-3.791 3.791 3.727
3.791 -3.791 3.727
3.791 3.791 -3.727
Li Sb Br
2 2 4
Direct
0.000 0.000 0.000
0.750 0.250 0.500
0.250 0.750 0.500
0.500 0.500 0.000
0.083 0.125 0.458
0.375 0.917 0.042
0.667 0.625 0.542
0.875 0.333 0.958
```

crystal system	tetragonal
symmetry	I-42d
calculated density	4.47	g/cm³

=====

It turns out i is the most stable, with the second structure 129 meV per atom higher.